Density functional theory data (PBE-GGA) for a geometry-optimized MgCdHg2 structure.

Energy of formation from the pure elements, eV per atom: -0.086
SG: No. 8
Uncorrected energy, eV/f.u.: -3.5
DOS at the Fermi energy, states/eV per cell: 1.259

Cell lengths 3.4513, 3.4513, 9.1457 Å; angles 79.47, 79.47, 60.82 degrees
Sites, in units of the cell vectors:
Mg 0.6674 0.6674 0.0000
Cd 0.5001 0.5001 0.4997
Hg 0.0793 0.0793 0.7606
Hg 0.2532 0.2532 0.2397